# 1
Computed, not measured: a relaxed PrNd4Cd2 crystal at the PBE-GGA level of DFT.

Structure (CIF):
```
data_PrNd4Cd2
_symmetry_space_group_name_H-M 'P 1'
_symmetry_Int_Tables_number 1
_symmetry_space_group_name_Hall 'P 1'
_cell_length_a 6.370
_cell_length_b 8.336
_cell_length_c 8.982
_cell_angle_alpha 82.21
_cell_angle_beta 70.75
_cell_angle_gamma 81.06
loop_
_atom_site_label
_atom_site_type_symbol
_atom_site_fract_x
_atom_site_fract_y
_atom_site_fract_z
Pr1 Pr 0.000 0.000 0.000
Pr2 Pr 0.320 0.239 0.164
Nd1 Nd 0.273 0.523 0.452
Nd2 Nd 0.310 0.597 0.876
Nd3 Nd 0.499 0.868 0.498
Nd4 Nd 0.514 0.166 0.759
Nd5 Nd 0.514 0.802 0.098
Nd6 Nd 0.751 0.242 0.336
Nd7 Nd 0.837 0.415 0.927
Nd8 Nd 0.888 0.799 0.722
Cd1 Cd 0.056 0.905 0.359
Cd2 Cd 0.085 0.175 0.596
Cd3 Cd 0.741 0.501 0.572
Cd4 Cd 0.931 0.617 0.222
```

Values from the calculation:
As for the crystal system: triclinic. For the excess energy over the best structure of this formula in the dataset, the calculation gives 37.6 meV/atom. As for the space group: P1. For the formation energy, the calculation gives -0.103 eV/atom.

---

# 2
Computed, not measured: a relaxed BeIr3Br crystal at the PBE-GGA level of DFT.

Structure (CIF):
```
data_BeIr3Br
_symmetry_space_group_name_H-M 'P 1'
_symmetry_Int_Tables_number 1
_symmetry_space_group_name_Hall 'P 1'
_cell_length_a 4.590
_cell_length_b 4.590
_cell_length_c 4.590
_cell_angle_alpha 90.00
_cell_angle_beta 90.00
_cell_angle_gamma 90.00
loop_
_atom_site_label
_atom_site_type_symbol
_atom_site_fract_x
_atom_site_fract_y
_atom_site_fract_z
Be1 Be 0.000 0.000 0.000
Ir1 Ir 0.000 0.500 0.500
Ir2 Ir 0.500 0.000 0.500
Ir3 Ir 0.500 0.500 0.000
Br1 Br 0.500 0.500 0.500
```

Values from the calculation:
As for the crystal system: cubic. For the excess energy over the best structure of this formula in the dataset, the calculation gives 1027.6 meV/atom. Its raw formation energy is 2.11 eV/atom. As for the space group: Pm-3m.

---

# 3
Computed, not measured: a relaxed TcPbAu crystal at the PBE-GGA level of DFT.

Structure (CIF):
```
data_TcPbAu
_symmetry_space_group_name_H-M 'P 1'
_symmetry_Int_Tables_number 1
_symmetry_space_group_name_Hall 'P 1'
_cell_length_a 4.562
_cell_length_b 4.562
_cell_length_c 4.562
_cell_angle_alpha 60.00
_cell_angle_beta 60.00
_cell_angle_gamma 60.00
loop_
_atom_site_label
_atom_site_type_symbol
_atom_site_fract_x
_atom_site_fract_y
_atom_site_fract_z
Tc1 Tc 0.000 0.000 0.000
Pb1 Pb 0.750 0.750 0.750
Au1 Au 0.250 0.250 0.250
```

Values from the calculation:
As for the crystal system: cubic. For the excess energy over the best structure of this formula in the dataset, the calculation gives 45.3 meV/atom. As for the space group: F-43m. For the formation energy, the calculation gives 0.670 eV/atom.

---

# 4
Computed, not measured: a relaxed BeGeSbW crystal at the PBE-GGA level of DFT.

Structure (CIF):
```
data_BeGeSbW
_symmetry_space_group_name_H-M 'P 1'
_symmetry_Int_Tables_number 1
_symmetry_space_group_name_Hall 'P 1'
_cell_length_a 3.392
_cell_length_b 4.854
_cell_length_c 4.896
_cell_angle_alpha 89.39
_cell_angle_beta 69.84
_cell_angle_gamma 69.59
loop_
_atom_site_label
_atom_site_type_symbol
_atom_site_fract_x
_atom_site_fract_y
_atom_site_fract_z
Be1 Be 0.000 0.000 0.000
Ge1 Ge 0.894 0.456 0.755
Sb1 Sb 0.358 0.891 0.395
W1 W 0.193 0.438 0.177
```

Values from the calculation:
As for the crystal system: triclinic. For the excess energy over the best structure of this formula in the dataset, the calculation gives 117.0 meV/atom. Its raw formation energy is 0.34 eV/atom. As for the space group: P1.

---

# 5
Computed, not measured: a relaxed TbPm2PrTm5 crystal at the PBE-GGA level of DFT.

Structure (CIF):
```
data_TbPm2PrTm5
_symmetry_space_group_name_H-M 'P 1'
_symmetry_Int_Tables_number 1
_symmetry_space_group_name_Hall 'P 1'
_cell_length_a 9.862
_cell_length_b 9.862
_cell_length_c 9.862
_cell_angle_alpha 128.30
_cell_angle_beta 128.30
_cell_angle_gamma 76.13
loop_
_atom_site_label
_atom_site_type_symbol
_atom_site_fract_x
_atom_site_fract_y
_atom_site_fract_z
Tb1 Tb 0.250 0.250 0.000
Tb2 Tb 0.750 0.750 0.000
Pm1 Pm 0.118 0.618 0.735
Pm2 Pm 0.382 0.118 0.500
Pm3 Pm 0.618 0.882 0.500
Pm4 Pm 0.882 0.382 0.265
Pr1 Pr 0.250 0.750 0.500
Pr2 Pr 0.750 0.250 0.500
Tm1 Tm 0.000 0.000 0.000
Tm2 Tm 0.071 0.153 0.500
Tm3 Tm 0.153 0.653 0.082
Tm4 Tm 0.347 0.429 0.500
Tm5 Tm 0.429 0.929 0.082
Tm6 Tm 0.500 0.500 0.000
Tm7 Tm 0.571 0.071 0.918
Tm8 Tm 0.653 0.571 0.500
Tm9 Tm 0.847 0.347 0.918
Tm10 Tm 0.929 0.847 0.500
```

Values from the calculation:
As for the crystal system: tetragonal. As for the space group: I4/mcm. For the formation energy, the calculation gives 0.260 eV/atom.

---

# 6
Computed, not measured: a relaxed MgCoP crystal at the PBE-GGA level of DFT.

Structure (CIF):
```
data_MgCoP
_symmetry_space_group_name_H-M 'P 1'
_symmetry_Int_Tables_number 1
_symmetry_space_group_name_Hall 'P 1'
_cell_length_a 3.836
_cell_length_b 5.130
_cell_length_c 5.131
_cell_angle_alpha 99.89
_cell_angle_beta 104.65
_cell_angle_gamma 106.72
loop_
_atom_site_label
_atom_site_type_symbol
_atom_site_fract_x
_atom_site_fract_y
_atom_site_fract_z
Mg1 Mg 0.000 0.000 0.000
Mg2 Mg 0.019 0.454 0.546
Co1 Co 0.675 0.435 0.978
Co2 Co 0.759 0.871 0.425
P1 P 0.275 0.573 0.114
P2 P 0.399 0.068 0.617
```

Values from the calculation:
As for the crystal system: triclinic. As for the space group: P1. For the formation energy, the calculation gives -0.460 eV/atom.

---

# 7
Computed, not measured: a relaxed LuTl2Cd crystal at the PBE-GGA level of DFT.

Structure (CIF):
```
data_LuTl2Cd
_symmetry_space_group_name_H-M 'P 1'
_symmetry_Int_Tables_number 1
_symmetry_space_group_name_Hall 'P 1'
_cell_length_a 11.482
_cell_length_b 11.482
_cell_length_c 11.482
_cell_angle_alpha 17.28
_cell_angle_beta 17.28
_cell_angle_gamma 17.28
loop_
_atom_site_label
_atom_site_type_symbol
_atom_site_fract_x
_atom_site_fract_y
_atom_site_fract_z
Lu1 Lu 0.000 0.000 0.000
Tl1 Tl 0.091 0.091 0.091
Tl2 Tl 0.909 0.909 0.909
Cd1 Cd 0.500 0.500 0.500
```

Values from the calculation:
As for the crystal system: trigonal. For the excess energy over the best structure of this formula in the dataset, the calculation gives 177.0 meV/atom. As for the space group: R-3m. For the formation energy, the calculation gives 0.119 eV/atom.

---

# 8
Computed, not measured: a relaxed BC2 crystal at the PBE-GGA level of DFT.

Structure (CIF):
```
data_BC2
_symmetry_space_group_name_H-M 'P 1'
_symmetry_Int_Tables_number 1
_symmetry_space_group_name_Hall 'P 1'
_cell_length_a 6.300
_cell_length_b 6.300
_cell_length_c 6.300
_cell_angle_alpha 157.03
_cell_angle_beta 157.03
_cell_angle_gamma 32.70
loop_
_atom_site_label
_atom_site_type_symbol
_atom_site_fract_x
_atom_site_fract_y
_atom_site_fract_z
B1 B 0.164 0.164 0.000
B2 B 0.836 0.836 0.000
C1 C 0.073 0.573 0.500
C2 C 0.427 0.927 0.500
C3 C 0.500 0.500 0.000
C4 C 0.750 0.250 0.500
```

Values from the calculation:
As for the crystal system: tetragonal. For the excess energy over the best structure of this formula in the dataset, the calculation gives 97.0 meV/atom. As for the space group: I-4m2. For the formation energy, the calculation gives 0.337 eV/atom.

---

# 9
Computed, not measured: a relaxed SmZrScAl crystal at the PBE-GGA level of DFT.

Structure (CIF):
```
data_SmZrScAl
_symmetry_space_group_name_H-M 'P 1'
_symmetry_Int_Tables_number 1
_symmetry_space_group_name_Hall 'P 1'
_cell_length_a 5.098
_cell_length_b 5.098
_cell_length_c 5.098
_cell_angle_alpha 60.00
_cell_angle_beta 60.00
_cell_angle_gamma 60.00
loop_
_atom_site_label
_atom_site_type_symbol
_atom_site_fract_x
_atom_site_fract_y
_atom_site_fract_z
Sm1 Sm 0.000 0.000 0.000
Zr1 Zr 0.500 0.500 0.500
Sc1 Sc 0.750 0.750 0.750
Al1 Al 0.250 0.250 0.250
```

Values from the calculation:
As for the crystal system: cubic. As for the space group: F-43m. For the formation energy, the calculation gives -0.067 eV/atom.

---

# 10
Computed, not measured: a relaxed Tc2MoRh crystal at the PBE-GGA level of DFT.

Structure (CIF):
```
data_Tc2MoRh
_symmetry_space_group_name_H-M 'P 1'
_symmetry_Int_Tables_number 1
_symmetry_space_group_name_Hall 'P 1'
_cell_length_a 4.771
_cell_length_b 4.771
_cell_length_c 4.800
_cell_angle_alpha 99.48
_cell_angle_beta 99.48
_cell_angle_gamma 33.33
loop_
_atom_site_label
_atom_site_type_symbol
_atom_site_fract_x
_atom_site_fract_y
_atom_site_fract_z
Tc1 Tc 0.000 0.000 0.000
Tc2 Tc 0.248 0.248 0.769
Mo1 Mo 0.496 0.496 0.501
Rh1 Rh 0.744 0.744 0.258
```

Values from the calculation:
As for the crystal system: monoclinic. For the excess energy over the best structure of this formula in the dataset, the calculation gives 73.2 meV/atom. As for the space group: Cm. For the formation energy, the calculation gives 0.008 eV/atom.